Record 1
! NiSe3, relaxed, DFT GGA-PBE; values from VASP
! * uncorrected formation energy: -0.025 eV/atom
! * DOS(E_F): 0.79 states/eV/atom
&SYSTEM
  ibrav = 0, nat = 16, ntyp = 2
/
ATOMIC_SPECIES
Ni 58.69 Ni.upf
Se 78.96 Se.upf
CELL_PARAMETERS angstrom
6.6953 0.0000 0.0000
0.0000 8.0865 0.0000
0.0000 0.0000 6.5063
ATOMIC_POSITIONS angstrom
Ni 1.1195 2.0216 1.0281
Ni 2.2281 6.0649 4.2813
Ni 4.4672 2.0216 2.2251
Ni 5.5757 6.0649 5.4783
Se 0.4007 4.5719 4.4912
Se 0.4007 7.5579 4.4912
Se 0.6673 2.0216 5.2427
Se 2.6804 6.0649 1.9896
Se 2.9470 0.5286 1.2381
Se 2.9470 3.5146 1.2381
Se 3.7483 4.5719 5.2683
Se 3.7483 7.5579 5.2683
Se 4.0149 2.0216 4.5168
Se 6.0280 6.0649 1.2636
Se 6.2946 0.5286 2.0151
Se 6.2946 3.5146 2.0151



Record 2
! In2Ag4Au, relaxed, DFT GGA-PBE; values from VASP
! * DOS(E_F): 0.31 states/eV/atom
! * calculated formation energy: 0.34 eV per atom
&SYSTEM
  ibrav = 0, nat = 7, ntyp = 3
/
ATOMIC_SPECIES
In 114.82 In.upf
Ag 107.87 Ag.upf
Au 196.97 Au.upf
CELL_PARAMETERS angstrom
-2.6005 2.6005 6.9189
2.6005 -2.6005 6.9189
2.6005 2.6005 -6.9189
ATOMIC_POSITIONS angstrom
In 0.0000 0.0000 1.5444
In 0.0000 0.0000 12.2933
Ag 2.6005 0.0000 0.0000
Ag 0.0000 0.0000 4.2211
Ag 0.0000 2.6005 0.0000
Ag 0.0000 0.0000 9.6167
Au 0.0000 0.0000 6.9189



Record 3
! Li2CeS3, relaxed, DFT GGA-PBE; values from VASP
! * uncorrected formation energy: -1.561 eV/atom
&SYSTEM
  ibrav = 0, nat = 12, ntyp = 3
/
ATOMIC_SPECIES
Li 6.94 Li.upf
Ce 140.12 Ce.upf
S 32.06 S.upf
CELL_PARAMETERS angstrom
3.2773 -5.7982 0.0000
3.2773 5.7982 0.0000
-2.2879 0.0000 6.4029
ATOMIC_POSITIONS angstrom
Li 1.5613 4.8474 4.8022
Li 2.7053 2.8290 1.6007
Li 1.5613 -2.8290 4.8022
Li 2.7053 -4.8474 1.6007
Ce 1.5613 1.0129 4.8022
Ce 2.7053 -1.0129 1.6007
S 0.4947 2.8991 3.2014
S -0.6235 0.9319 6.3955
S 0.5205 -0.9319 3.1941
S 1.6386 -2.8991 0.0000
S 3.7461 0.9319 3.2088
S 4.8900 -0.9319 0.0074



Record 4
! NaCuP2Cl, relaxed, DFT GGA-PBE; values from VASP
! * uncorrected formation energy: 0.054 eV/atom
! * DOS(E_F): 0.53 states/eV/atom
&SYSTEM
  ibrav = 0, nat = 5, ntyp = 4
/
ATOMIC_SPECIES
Na 22.99 Na.upf
Cu 63.55 Cu.upf
P 30.97 P.upf
Cl 35.45 Cl.upf
CELL_PARAMETERS angstrom
4.2845 0.0000 0.0000
0.0000 4.2845 0.0000
0.0000 0.0000 7.4685
ATOMIC_POSITIONS angstrom
Na 0.0000 0.0000 0.0000
Cu 2.1423 2.1423 3.7342
P 0.0000 2.1423 3.7342
P 2.1423 0.0000 3.7342
Cl 2.1423 2.1423 0.0000



Record 5
! SiNiRh, relaxed, DFT GGA-PBE; values from VASP
! * uncorrected formation energy: -0.193 eV/atom
! * DOS(E_F): 0.75 states/eV/atom
&SYSTEM
  ibrav = 0, nat = 3, ntyp = 3
/
ATOMIC_SPECIES
Si 28.09 Si.upf
Ni 58.69 Ni.upf
Rh 102.91 Rh.upf
CELL_PARAMETERS angstrom
0.0000 2.8139 2.8139
2.8139 0.0000 2.8139
2.8139 2.8139 0.0000
ATOMIC_POSITIONS angstrom
Si 0.0000 0.0000 0.0000
Ni 2.8139 2.8139 2.8139
Rh 4.2209 4.2209 4.2209



Record 6
! SrGdGaAu, relaxed, DFT GGA-PBE; values from VASP
! * DOS(E_F): 0.83 states/eV/atom
! * calculated formation energy: -0.56 eV per atom
&SYSTEM
  ibrav = 0, nat = 4, ntyp = 4
/
ATOMIC_SPECIES
Sr 87.62 Sr.upf
Gd 157.25 Gd.upf
Ga 69.72 Ga.upf
Au 196.97 Au.upf
CELL_PARAMETERS angstrom
0.0000 3.7383 3.7383
3.7383 0.0000 3.7383
3.7383 3.7383 0.0000
ATOMIC_POSITIONS angstrom
Sr 0.0000 0.0000 0.0000
Gd 3.7383 3.7383 3.7383
Ga 1.8691 1.8691 1.8691
Au 5.6074 5.6074 5.6074



Record 7
! CdReSe2, relaxed, DFT GGA-PBE; values from VASP
! * uncorrected formation energy: 0.012 eV/atom
! * DOS(E_F): 0.74 states/eV/atom
&SYSTEM
  ibrav = 0, nat = 4, ntyp = 3
/
ATOMIC_SPECIES
Cd 112.41 Cd.upf
Re 186.21 Re.upf
Se 78.96 Se.upf
CELL_PARAMETERS angstrom
1.5848 0.9150 9.8098
-1.5848 0.9150 9.8098
0.0000 -1.8299 9.8098
ATOMIC_POSITIONS angstrom
Cd 0.0000 0.0000 0.0000
Re 0.0000 0.0000 14.7148
Se 0.0000 0.0000 6.6944
Se 0.0000 0.0000 22.7352



Record 8
! Y8As3Se4N, relaxed, DFT GGA-PBE; values from VASP
! * uncorrected formation energy: -1.665 eV/atom
! * DOS(E_F): 0.36 states/eV/atom
&SYSTEM
  ibrav = 0, nat = 16, ntyp = 4
/
ATOMIC_SPECIES
Y 88.91 Y.upf
As 74.92 As.upf
Se 78.96 Se.upf
N 14.01 N.upf
CELL_PARAMETERS angstrom
4.0211 2.3216 6.6693
-4.0211 2.3216 6.6693
0.0000 -4.6431 6.6693
ATOMIC_POSITIONS angstrom
Y 0.0000 0.0000 4.9277
Y -1.8527 -1.0697 11.4763
Y 0.0000 -2.1393 8.5317
Y -1.8527 1.0697 8.5317
Y 1.8527 -1.0697 11.4763
Y 0.0000 2.1393 11.4763
Y 1.8527 1.0697 8.5317
Y 0.0000 0.0000 15.0803
As -4.0211 0.0000 10.0040
As -2.0105 1.1608 3.3346
As 2.0105 1.1608 3.3347
Se 0.0000 0.0000 0.0000
Se -2.0105 -1.1608 6.6693
Se -2.0105 1.1608 13.3386
Se 0.0000 2.3216 6.6693
N 0.0000 0.0000 10.0040



Record 9
! CaNbInW2, relaxed, DFT GGA-PBE; values from VASP
! * DOS(E_F): 1.40 states/eV/atom
! * calculated formation energy: 1.71 eV per atom
&SYSTEM
  ibrav = 0, nat = 5, ntyp = 4
/
ATOMIC_SPECIES
Ca 40.08 Ca.upf
Nb 92.91 Nb.upf
In 114.82 In.upf
W 183.84 W.upf
CELL_PARAMETERS angstrom
4.9370 0.0000 0.0000
0.0000 4.9370 0.0000
0.0000 0.0000 5.7067
ATOMIC_POSITIONS angstrom
Ca 0.0000 0.0000 0.0000
Nb 0.0000 0.0000 2.8533
In 2.4685 2.4685 0.0000
W 0.0000 2.4685 2.8533
W 2.4685 0.0000 2.8533



Record 10
! Tm6Rh2PbSe3, relaxed, DFT GGA-PBE; values from VASP
! * uncorrected formation energy: -1.171 eV/atom
! * DOS(E_F): 0.33 states/eV/atom
&SYSTEM
  ibrav = 0, nat = 12, ntyp = 4
/
ATOMIC_SPECIES
Tm 168.93 Tm.upf
Rh 102.91 Rh.upf
Pb 207.20 Pb.upf
Se 78.96 Se.upf
CELL_PARAMETERS angstrom
9.3914 -1.9782 0.0000
9.3914 1.9782 0.0000
-3.2897 0.0000 7.8449
ATOMIC_POSITIONS angstrom
Tm -0.6889 0.0000 1.8083
Tm 2.8270 0.0000 7.5016
Tm 4.7337 0.0000 3.2040
Tm 10.7594 0.0000 4.6409
Tm 12.6661 0.0000 0.3434
Tm 16.1819 0.0000 6.0366
Rh 0.2457 0.0000 6.2112
Rh 15.2473 0.0000 1.6337
Pb 7.7465 0.0000 3.9225
Se 2.0468 0.0000 2.5038
Se 9.3914 0.0000 0.0000
Se 13.4462 0.0000 5.3412



Record 11
! TaSb2W, relaxed, DFT GGA-PBE; values from VASP
! * uncorrected formation energy: 0.709 eV/atom
! * DOS(E_F): 0.73 states/eV/atom
&SYSTEM
  ibrav = 0, nat = 4, ntyp = 3
/
ATOMIC_SPECIES
Ta 180.95 Ta.upf
Sb 121.76 Sb.upf
W 183.84 W.upf
CELL_PARAMETERS angstrom
1.7349 -2.5806 0.0000
1.7349 2.5806 0.0000
0.0000 0.0000 8.9473
ATOMIC_POSITIONS angstrom
Ta 0.0000 0.0000 0.0000
Sb 1.7349 0.0000 2.2845
Sb 1.7349 0.0000 6.6628
W 0.0000 0.0000 4.4736



Record 12
! CaGd6, relaxed, DFT GGA-PBE; values from VASP
! * DOS(E_F): 1.41 states/eV/atom
! * calculated formation energy: 1.23 eV per atom
&SYSTEM
  ibrav = 0, nat = 7, ntyp = 2
/
ATOMIC_SPECIES
Ca 40.08 Ca.upf
Gd 157.25 Gd.upf
CELL_PARAMETERS angstrom
-4.1047 4.1047 4.1047
4.1047 -4.1047 4.1047
4.1047 4.1047 -4.1047
ATOMIC_POSITIONS angstrom
Ca 0.0000 0.0000 0.0000
Gd 4.1047 2.0523 0.0000
Gd 4.1047 0.0000 2.0523
Gd 2.0523 4.1047 0.0000
Gd 2.0523 0.0000 4.1047
Gd 0.0000 4.1047 2.0523
Gd 0.0000 2.0523 4.1047